CaLaFe3: relaxed, PBE.

The structure belongs to space group Pm-3m (No. 221); the cell edges are 4.869, 4.869 and 4.869 Å and the angles 90.00°, 90.00° and 90.00°. The distinct sites, in fractional coordinates, are Ca at (0.000, 0.000, 0.000), La at (0.500, 0.500, 0.500) and Fe at (0.000, 0.000, 0.500).

For the spin magnetization, the calculation gives 7.2 μB per formula unit. As for the total energy: -25.71 eV for the cell shown. The relative energy among the computed polymorphs is 87 meV per atom.

=====

CaLa2Fe: relaxed, PBE.

The structure belongs to space group F-43m (No. 216); the cell edges are 7.711, 7.711 and 7.711 Å and the angles 90.00°, 90.00° and 90.00°. The distinct sites, in fractional coordinates, are Ca at (0.000, 0.000, 0.000), La at (0.000, 0.000, 0.500), La at (0.250, 0.250, 0.750) and Fe at (0.250, 0.250, 0.250).

For the spin magnetization, the calculation gives 1.6 μB per formula unit. As for the total energy: -73.72 eV for the cell shown. The relative energy among the computed polymorphs is 338 meV per atom.

=====

Ca2LaMgFe: relaxed, PBE.

The structure belongs to space group P4/mmm (No. 123); the cell edges are 6.041, 6.041 and 4.434 Å and the angles 90.00°, 90.00° and 90.00°. The distinct sites, in fractional coordinates, are Ca at (0.000, 0.500, 0.000), La at (0.000, 0.000, 0.000), Mg at (0.500, 0.500, 0.500) and Fe at (0.000, 0.000, 0.500).

For the spin magnetization, the calculation gives 1.1 μB per formula unit. As for the total energy: -14.85 eV for the cell shown.

=====

CaLaMg2Fe: relaxed, PBE.

The structure belongs to space group P4/mmm (No. 123); the cell edges are 5.261, 5.261 and 4.876 Å and the angles 90.00°, 90.00° and 90.00°. The distinct sites, in fractional coordinates, are Ca at (0.000, 0.000, 0.000), La at (0.500, 0.500, 0.000), Mg at (0.000, 0.500, 0.500) and Fe at (0.500, 0.500, 0.500).

For the spin magnetization, the calculation gives 0.0 μB per formula unit. As for the total energy: -18.14 eV for the cell shown.

=====

CaLa2MgFe: relaxed, PBE.

The structure belongs to space group P4/mmm (No. 123); the cell edges are 5.230, 5.230 and 5.468 Å and the angles 90.00°, 90.00° and 90.00°. The distinct sites, in fractional coordinates, are Ca at (0.000, 0.000, 0.000), La at (0.000, 0.500, 0.500), Mg at (0.500, 0.500, 0.000) and Fe at (0.500, 0.500, 0.500).

For the spin magnetization, the calculation gives 0.0 μB per formula unit. As for the total energy: -21.68 eV for the cell shown. The relative energy among the computed polymorphs is 0 meV per atom.

=====

CaLa2MgFe: relaxed, PBE.

The structure belongs to space group P4/mmm (No. 123); the cell edges are 5.156, 5.156 and 5.797 Å and the angles 90.00°, 90.00° and 90.00°. The distinct sites, in fractional coordinates, are Ca at (0.000, 0.000, 0.000), La at (0.000, 0.500, 0.500), Mg at (0.500, 0.500, 0.000) and Fe at (0.000, 0.000, 0.500).

For the spin magnetization, the calculation gives 0.0 μB per formula unit. As for the total energy: -21.61 eV for the cell shown. The relative energy among the computed polymorphs is 14 meV per atom.

=====

Q: Look up the spin magnetization of the sixth one.
A: 0.0 μB per formula unit

=====

Q: What is the formula in the third record?
A: Ca2LaMgFe

=====

Q: Look up the spin magnetization of the third one.
A: 1.1 μB per formula unit